Computed, not measured: an optimized crystal structure of RhSeN2O at the PBE level of DFT.

Uncorrected formation energy in eV/atom: 1.31

Cell lengths 3.660, 3.660, 5.521 Å; angles 90.00, 90.00, 90.00 degrees
Site moments in Bohr magnetons follow the coordinates.
Atoms (fractional coordinates):
1 N 0.500 0.000 0.000  0.20
2 Se 0.000 0.000 0.500  0.03
3 N 0.000 0.500 0.000  0.20
4 Rh 0.000 0.000 0.000  -0.01
5 O 0.500 0.500 0.500  0.00



Computed, not measured: an optimized crystal structure of YPO at the PBE level of DFT.

Uncorrected formation energy in eV/atom: -2.26

Cell lengths 3.400, 3.383, 15.386 Å; angles 90.00, 90.00, 90.00 degrees
Atoms (fractional coordinates):
1 Y 0.734 0.250 0.659
2 Y 0.266 0.750 0.341
3 O 0.264 0.750 0.191
4 O 0.236 0.750 0.691
5 P 0.727 0.750 0.000
6 O 0.764 0.250 0.309
7 O 0.736 0.250 0.809
8 Y 0.766 0.250 0.159
9 P 0.773 0.750 0.500
10 Y 0.234 0.750 0.841
11 P 0.227 0.250 0.500
12 P 0.273 0.250 0.000



Computed, not measured: an optimized crystal structure of MgTeAs2 at the PBE level of DFT.

Relative energy among the computed polymorphs in meV/atom: 151.6
Uncorrected formation energy in eV/atom: -0.10

Cell lengths 7.442, 7.442, 7.442 Å; angles 152.50, 148.44, 42.34 degrees
Atoms (fractional coordinates):
1 Te 0.183 0.683 0.500
2 Mg 0.530 0.530 0.000
3 As 0.831 0.331 0.500
4 As 0.956 0.956 0.000